Compound: VFeC
Source: Alexandria
Functional: PBE-GGA
Structure: relaxed

abc: 5.7394 5.1433 6.2463
angles: 59.58 50.61 69.81
With the nearest neighbours (Å) after each atom.
Sites, in units of the cell vectors:
V 0.0847 0.4153 0.1496  4 C 2.02-2.13
V 0.1004 0.8996 0.1653  4 C 2.02-2.13
V 0.4153 0.0847 0.3504  4 C 2.02-2.13
V 0.8996 0.1004 0.8347  4 C 2.02-2.13
Fe 0.0340 0.6212 0.7120  2 C 2.00-2.11
Fe 0.5380 0.6172 0.2160  2 C 2.00-2.11
Fe 0.6172 0.5380 0.6288  2 C 2.00-2.11
Fe 0.6212 0.0340 0.6328  2 C 2.00-2.11
C 0.1141 0.4570 0.4407  2 Fe 2.00-2.11, 4 V 2.02-2.13
C 0.2618 0.8093 0.7930  2 Fe 2.00-2.11, 4 V 2.02-2.13
C 0.4570 0.1141 0.9882  2 Fe 2.00-2.11, 4 V 2.02-2.13
C 0.8093 0.2618 0.1359  2 Fe 2.00-2.11, 4 V 2.02-2.13

Computed properties:
The uncorrected energy is -27.15 eV per formula unit. For the distance to the lowest polymorph of the same formula, the calculation gives 0.000 eV per atom. The spin magnetization is 8.007 μB per cell.

Compound: Ce2SnSb
Source: Alexandria
Functional: PBE-GGA
Structure: relaxed

abc: 4.4910 4.4910 22.0330
angles: 90.00 90.00 120.00
With the nearest neighbours (Å) after each atom.
Sites, in units of the cell vectors:
Ce 0.0000 0.0000 0.2500  3 Sn 3.18, 3 Sb 3.18
Ce 0.0000 0.0000 0.7500  3 Sn 3.18, 3 Sb 3.18
Ce 0.3333 0.6667 0.4166  3 Sn 3.18, 3 Sb 3.18
Ce 0.3333 0.6667 0.9167  3 Sn 3.18, 3 Sb 3.18
Ce 0.6667 0.3333 0.0833  3 Sn 3.18, 3 Sb 3.18
Ce 0.6667 0.3333 0.5834  3 Sn 3.18, 3 Sb 3.18
Sn 0.0000 0.0000 0.0000  6 Ce 3.18
Sn 0.3333 0.6667 0.6667  6 Ce 3.18
Sn 0.6667 0.3333 0.3333  6 Ce 3.18
Sb 0.0000 0.0000 0.5000  6 Ce 3.18
Sb 0.3333 0.6667 0.1667  6 Ce 3.18
Sb 0.6667 0.3333 0.8333  6 Ce 3.18

Computed properties:
The uncorrected energy is -23.00 eV per formula unit. The formation energy (no corrections) comes out at -751 meV per atom. For the distance to the lowest polymorph of the same formula, the calculation gives 0.047 eV per atom. The spin magnetization is 2.946 μB per cell.

Compound: ThZr2Au
Source: Alexandria
Functional: PBE-GGA
Structure: relaxed

abc: 7.1446 7.1446 7.1446
angles: 90.00 90.00 90.00
With the nearest neighbours (Å) after each atom.
Sites, in units of the cell vectors:
Th 0.0000 0.0000 0.0000  8 Zr 3.09
Th 0.0000 0.5000 0.5000  8 Zr 3.09
Th 0.5000 0.0000 0.5000  8 Zr 3.09
Th 0.5000 0.5000 0.0000  8 Zr 3.09
Zr 0.2500 0.2500 0.2500  4 Th 3.09, 4 Au 3.09
Zr 0.2500 0.2500 0.7500  4 Au 3.09, 4 Th 3.09
Zr 0.2500 0.7500 0.2500  4 Th 3.09, 4 Au 3.09
Zr 0.2500 0.7500 0.7500  4 Th 3.09, 4 Au 3.09
Zr 0.7500 0.2500 0.2500  4 Th 3.09, 4 Au 3.09
Zr 0.7500 0.2500 0.7500  4 Th 3.09, 4 Au 3.09
Zr 0.7500 0.7500 0.2500  4 Th 3.09, 4 Au 3.09
Zr 0.7500 0.7500 0.7500  4 Au 3.09, 4 Th 3.09
Au 0.0000 0.0000 0.5000  8 Zr 3.09
Au 0.0000 0.5000 0.0000  8 Zr 3.09
Au 0.5000 0.0000 0.0000  8 Zr 3.09
Au 0.5000 0.5000 0.5000  8 Zr 3.09

Computed properties:
The uncorrected energy is -28.05 eV per formula unit. For the distance to the lowest polymorph of the same formula, the calculation gives 0.172 eV per atom. The spin magnetization is 0.000 μB per cell.

Compound: SiAgHg2
Source: Alexandria
Functional: PBE-GGA
Structure: relaxed

abc: 6.9331 6.9331 6.9331
angles: 90.00 90.00 90.00
With the nearest neighbours (Å) after each atom.
Sites, in units of the cell vectors:
Si 0.0000 0.0000 0.0000  4 Hg 3.00, 4 Ag 3.00
Si 0.0000 0.5000 0.5000  4 Hg 3.00, 4 Ag 3.00
Si 0.5000 0.0000 0.5000  4 Hg 3.00, 4 Ag 3.00
Si 0.5000 0.5000 0.0000  4 Hg 3.00, 4 Ag 3.00
Ag 0.2500 0.2500 0.2500  4 Hg 3.00, 4 Si 3.00
Ag 0.2500 0.7500 0.7500  4 Hg 3.00, 4 Si 3.00
Ag 0.7500 0.2500 0.7500  4 Hg 3.00, 4 Si 3.00
Ag 0.7500 0.7500 0.2500  4 Hg 3.00, 4 Si 3.00
Hg 0.0000 0.0000 0.5000  4 Ag 3.00, 4 Hg 3.00
Hg 0.0000 0.5000 0.0000  4 Ag 3.00, 4 Hg 3.00
Hg 0.2500 0.2500 0.7500  4 Hg 3.00, 4 Si 3.00
Hg 0.2500 0.7500 0.2500  4 Hg 3.00, 4 Si 3.00
Hg 0.5000 0.0000 0.0000  4 Ag 3.00, 4 Hg 3.00
Hg 0.5000 0.5000 0.5000  4 Ag 3.00, 4 Hg 3.00
Hg 0.7500 0.2500 0.2500  4 Hg 3.00, 4 Si 3.00
Hg 0.7500 0.7500 0.7500  4 Hg 3.00, 4 Si 3.00

Computed properties:
The uncorrected energy is -7.17 eV per formula unit. The formation energy (no corrections) comes out at 426 meV per atom. The spin magnetization is 0.000 μB per cell.